4
Lattice="-3.153 2.461 1.109 -1.662 1.462 3.511 6.003 5.931 -1.260" Properties=species:S:1:pos:R:3 comment="SbOs2Br | the Alexandria database | PBE | relaxed" m_tot_mub_per_cell=0.0 e_tot_ev_per_atom=-6.601 spacegroup=Cm e_above_lowest_polymorph_ev_per_fu=0.15 raw_formation_energy_ev_per_atom=0.463 pbc="T T T"
Sb 1.284 5.297 1.406
Br 0.502 1.794 0.434
Os 5.068 5.824 -0.723
Os 0.932 7.796 2.663

=====

5
Lattice="-0.652 1.659 -3.356 1.429 -3.038 -1.780 -4.935 -1.370 2.433" Properties=species:S:1:pos:R:3 comment="PrCoB2Ru | the Alexandria database | PBE | relaxed" m_tot_mub_per_cell=0.0 e_tot_ev_per_atom=-7.363 delta_e_f_ev_per_atom=-0.460 spacegroup=I-4m2 pbc="T T T"
Pr 0.000 0.000 0.000
B -3.004 -1.361 -0.089
B -1.155 -1.389 -2.614
Co -2.599 -0.200 -1.745
Ru -1.559 -2.549 -0.957

=====

What did the first record say?
4
Lattice="-3.153 2.461 1.109 -1.662 1.462 3.511 6.003 5.931 -1.260" Properties=species:S:1:pos:R:3 comment="SbOs2Br | the Alexandria database | PBE | relaxed" m_tot_mub_per_cell=0.0 e_tot_ev_per_atom=-6.601 spacegroup=Cm e_above_lowest_polymorph_ev_per_fu=0.15 raw_formation_energy_ev_per_atom=0.463 pbc="T T T"
Sb 1.284 5.297 1.406
Br 0.502 1.794 0.434
Os 5.068 5.824 -0.723
Os 0.932 7.796 2.663